A geometry-optimized Tl3GeN structure, computed with GGA-PBEsol.

Calculated values
Symmetry: Pm-3m (221)
ΔE_f (raw): 1340 meV/atom

Cell lengths 5.399, 5.399, 5.399 Å; angles 90.00, 90.00, 90.00 degrees
Positions (direct):
Tl (0.000, 0.000, 0.500)
Tl (0.000, 0.500, 0.000)
Tl (0.500, 0.000, 0.000)
Ge (0.000, 0.000, 0.000)
N (0.500, 0.500, 0.500)